# PBE Pm2Nd8Ho, optimized geometry
# Polymorph energy (0 for the lowest one) in meV per atom: 35
# DFT formation energy in eV/atom: 0.154
# Magnetic moment in μB per cell: 0.00
# Density of states at the Fermi level in states/eV/f.u.: 18.18
data_Pm2Nd8Ho
_cell_length_a 16.8705
_cell_length_b 6.8701
_cell_length_c 6.8103
_cell_angle_alpha 90.00
_cell_angle_beta 100.84
_cell_angle_gamma 90.00
_symmetry_space_group_name_H-M 'C 1 2/m 1'
_symmetry_Int_Tables_number 12
loop_
_symmetry_equiv_pos_as_xyz
'x,y,z'
'-x,-y,-z'
'-x,y,-z'
'x,-y,z'
'x+1/2,y+1/2,z'
'-x+1/2,-y+1/2,-z'
'-x+1/2,y+1/2,-z'
'x+1/2,-y+1/2,z'
loop_
_atom_site_label
_atom_site_fract_x
_atom_site_fract_y
_atom_site_fract_z
_atom_site_occupancy
Pm1 0.1955 0.0000 0.3061 1
Nd1 0.0865 0.2627 0.9038 1
Nd2 0.0920 0.5000 0.4145 1
Nd3 0.2437 0.0000 0.8158 1
Ho1 0.0000 0.0000 0.5000 1